Entry 1:
Material: Mg4Sc5Ag
Method: DFT, GGA-PBE
State: relaxed

Lattice parameters (Å, degrees): 3.5572 3.5572 17.7947 90.00 90.00 90.00
With the nearest neighbours (Å) after each atom.
Element x y z (fractional)
Mg: 0.0000 0.0000 0.8053  8 Sc 3.08-3.11
Sc: 0.5000 0.5000 0.5000  8 Mg 3.11
Mg: 0.0000 0.0000 0.1947  8 Sc 3.08-3.11
Mg: 0.0000 0.0000 0.3972  8 Sc 3.11
Sc: 0.5000 0.5000 0.9077  4 Ag 3.00, 4 Mg 3.11, 1 Sc 3.28
Sc: 0.5000 0.5000 0.7057  8 Mg 3.08-3.11
Sc: 0.5000 0.5000 0.2943  8 Mg 3.08-3.11
Mg: 0.0000 0.0000 0.6028  8 Sc 3.11
Ag: 0.0000 0.0000 0.0000  8 Sc 3.00
Sc: 0.5000 0.5000 0.0923  4 Ag 3.00, 4 Mg 3.11, 1 Sc 3.28

Output
As for the formation enthalpy at 0 K: -85 meV per atom. For the density, the calculation gives 3.170 g/cm³. The total moment comes out at 0.000 μB per atom. The calculation puts the density of states at the Fermi level at 11.8 states/eV per cell. Its space group is No. 123.

---

Entry 2:
Material: CaTiSbI2
Method: DFT, GGA-PBE
State: relaxed

Lattice parameters (Å, degrees): 5.5355 5.5355 5.5434 90.00 90.00 90.00
With the nearest neighbours (Å) after each atom.
Element x y z (fractional)
Ti: 0.0000 0.0000 0.0000  4 I 2.77, 2 Sb 2.77
Ca: 0.5000 0.5000 0.5000  4 Sb 3.91, 8 I 3.92
Sb: 0.0000 0.0000 0.5000  2 Ti 2.77
I: 0.0000 0.5000 0.0000  2 Ti 2.77
I: 0.5000 0.0000 0.0000  2 Ti 2.77

Output
For the density, the calculation gives 4.531 g/cm³. As for the formation energy without anion corrections: -394 meV/atom. The total moment comes out at 0.196 μB per atom. The calculation puts the density of states at the Fermi level at 2.7 states/eV per cell. Its space group is No. 123.